Below is a relaxed Ca3Cd2Hg8 crystal, with properties calculated at the PBE level.

```
Ca3Cd2Hg8
1.0
6.116 0.000 0.000
3.058 5.296 0.000
3.058 1.765 11.190
Hg Ca Cd
8 3 2
Cartesian
9.174 5.296 9.527
6.116 1.754 3.626
6.116 5.307 7.564
4.577 2.643 7.564
3.058 1.765 1.662
4.577 4.419 3.626
7.654 2.643 7.564
7.654 4.419 3.626
9.174 5.296 6.389
3.058 1.765 4.800
0.000 0.000 0.000
6.116 3.531 1.140
6.116 3.531 10.050
```

## Properties
* VASP energy: -12.85 eV per cell